Record 1
The following is a DFT calculation (GGA-PBE) of an optimized crystal structure of Nd2PuU2Ru5.

Unit cell a=10.7612 b=10.7612 c=3.5621 alpha=90.00 beta=90.00 gamma=90.00
Fractional coordinates of all 20 atoms:
Nd  0.1753  0.3247  0.0000
Nd  0.3247  0.8247  0.0000
Nd  0.6753  0.1753  0.0000
Nd  0.8247  0.6753  0.0000
Pu  0.0000  0.0000  0.0000
Pu  0.5000  0.5000  0.0000
U  0.1362  0.6362  0.0000
U  0.3638  0.1362  0.0000
U  0.6362  0.8638  0.0000
U  0.8638  0.3638  0.0000
Ru  0.0000  0.5000  0.5000
Ru  0.0499  0.7902  0.5000
Ru  0.2098  0.0499  0.5000
Ru  0.2902  0.5499  0.5000
Ru  0.4501  0.2902  0.5000
Ru  0.5000  0.0000  0.5000
Ru  0.5499  0.7098  0.5000
Ru  0.7098  0.4501  0.5000
Ru  0.7902  0.9501  0.5000
Ru  0.9501  0.2098  0.5000

## Properties
The calculation puts the total energy at -9.436 eV/atom. The calculation puts the formation energy at -0.15 eV per atom. Its spin magnetization is 9.5 μB per cell. Its symmetry is P4/mbm.

---

Record 2
The following is a DFT calculation (GGA-PBE) of an optimized crystal structure of Nd2PuZnRu2.

Unit cell a=8.4017 b=8.4017 c=8.4017 alpha=137.64 beta=62.62 gamma=136.14
Fractional coordinates of all 12 atoms:
Nd  0.1748  0.2128  0.3876
Nd  0.3252  0.7128  0.0380
Nd  0.6748  0.2872  0.9620
Nd  0.8252  0.7872  0.6124
Pu  0.2500  0.7500  0.5000
Pu  0.7500  0.2500  0.5000
Zn  0.2500  0.2500  0.0000
Zn  0.7500  0.7500  0.0000
Ru  0.1128  0.7232  0.8360
Ru  0.3872  0.2232  0.6104
Ru  0.6128  0.7768  0.3896
Ru  0.8872  0.2768  0.1640

## Properties
The calculation puts the total energy at -7.460 eV/atom. The calculation puts the formation energy at -0.18 eV per atom. Its spin magnetization is 9.3 μB per cell. Its symmetry is Ibam.

---

Record 3
The following is a DFT calculation (GGA-PBE) of an optimized crystal structure of NdPuS3.

Unit cell a=7.2843 b=7.2843 c=7.2843 alpha=135.81 beta=87.11 gamma=109.48
Fractional coordinates of all 10 atoms:
Nd  0.0000  0.0000  0.0000
Nd  0.5000  0.0000  0.5000
Pu  0.3036  0.5536  0.7500
Pu  0.6964  0.4464  0.2500
S  0.1014  0.6576  0.4438
S  0.2861  0.3424  0.9438
S  0.3566  0.1066  0.2500
S  0.6434  0.8934  0.7500
S  0.7139  0.6576  0.0562
S  0.8986  0.3424  0.5562

## Properties
The calculation puts the total energy at -7.891 eV/atom. Its spin magnetization is 9.9 μB per cell. Its symmetry is Imma. The value obtained for the formation energy without anion corrections is -1.59 eV/atom.

---

Record 4
The following is a DFT calculation (GGA-PBE) of an optimized crystal structure of Nd3Pu4S8.

Unit cell a=8.0233 b=8.0233 c=8.0071 alpha=119.87 beta=119.87 gamma=90.22
Fractional coordinates of all 15 atoms:
Nd  0.0000  0.0000  0.0000
Nd  0.0000  0.5000  0.5000
Nd  0.5000  0.0000  0.5000
Pu  0.0000  0.5000  0.0000
Pu  0.5000  0.0000  0.0000
Pu  0.5000  0.5000  0.0000
Pu  0.5000  0.5000  0.5000
S  0.2523  0.7477  0.0000
S  0.2522  0.7478  0.5000
S  0.2562  0.2562  0.0067
S  0.2573  0.2573  0.5074
S  0.7427  0.7427  0.4926
S  0.7438  0.7438  0.9933
S  0.7477  0.2523  0.0000
S  0.7478  0.2522  0.5000

## Properties
The calculation puts the total energy at -8.831 eV/atom. Its spin magnetization is 0.2 μB per cell. Its symmetry is C2/m. The value obtained for the formation energy without anion corrections is -1.85 eV/atom.

---

Record 5
The following is a DFT calculation (GGA-PBE) of an optimized crystal structure of NdPu4S5.

Unit cell a=6.8862 b=6.8862 c=9.7359 alpha=118.03 beta=118.03 gamma=33.52
Fractional coordinates of all 10 atoms:
Nd  0.0000  0.0000  0.0000
Pu  0.2018  0.2018  0.7992
Pu  0.4003  0.4003  0.5986
Pu  0.5997  0.5997  0.4014
Pu  0.7982  0.7982  0.2008
S  0.0000  0.0000  0.5000
S  0.2008  0.2008  0.3049
S  0.3948  0.3948  0.1022
S  0.6052  0.6052  0.8978
S  0.7992  0.7992  0.6951

## Properties
The calculation puts the total energy at -10.079 eV/atom. Its spin magnetization is 0.0 μB per cell. Its symmetry is C2/m. The value obtained for the formation energy without anion corrections is -1.81 eV/atom.

---

Record 6
The following is a DFT calculation (GGA-PBE) of an optimized crystal structure of Nd4PuS7.

Unit cell a=6.9348 b=6.9348 c=11.9017 alpha=104.43 beta=104.43 gamma=33.21
Fractional coordinates of all 12 atoms:
Nd  0.0000  0.0000  0.0000
Nd  0.1893  0.1893  0.7681
Nd  0.5833  0.5833  0.3812
Nd  0.8859  0.8859  0.5731
Pu  0.7711  0.7711  0.1516
S  0.1524  0.1524  0.2243
S  0.2260  0.2260  0.5244
S  0.3816  0.3816  0.0752
S  0.5459  0.5459  0.6252
S  0.6245  0.6245  0.9264
S  0.8445  0.8445  0.7903
S  0.9275  0.9275  0.3562

## Properties
The calculation puts the total energy at -7.163 eV/atom. Its spin magnetization is 5.6 μB per cell. Its symmetry is Cm. The value obtained for the formation energy without anion corrections is -1.97 eV/atom.

---

Record 7
The following is a DFT calculation (GGA-PBE) of an optimized crystal structure of NdPuS3.

Unit cell a=7.4032 b=4.0050 c=15.4262 alpha=90.00 beta=90.00 gamma=90.00
Fractional coordinates of all 20 atoms:
Nd  0.1366  0.2500  0.2040
Nd  0.3634  0.7500  0.7040
Nd  0.6366  0.2500  0.2960
Nd  0.8634  0.7500  0.7960
Pu  0.2323  0.7500  0.4603
Pu  0.2677  0.2500  0.9603
Pu  0.7323  0.7500  0.0397
Pu  0.7677  0.2500  0.5397
S  0.0117  0.2500  0.3950
S  0.1277  0.7500  0.0649
S  0.1516  0.2500  0.7840
S  0.3484  0.7500  0.2840
S  0.3723  0.2500  0.5649
S  0.4883  0.7500  0.8950
S  0.5117  0.2500  0.1050
S  0.6277  0.7500  0.4351
S  0.6516  0.2500  0.7160
S  0.8484  0.7500  0.2160
S  0.8723  0.2500  0.9351
S  0.9883  0.7500  0.6050

## Properties
The calculation puts the total energy at -8.166 eV/atom. Its spin magnetization is 20.0 μB per cell. Its symmetry is Pnma. The value obtained for the formation energy without anion corrections is -1.87 eV/atom.

---

Record 8
The following is a DFT calculation (GGA-PBE) of an optimized crystal structure of Nd2PuS.

Unit cell a=9.6071 b=9.6071 c=9.6071 alpha=23.02 beta=23.02 gamma=23.02
Fractional coordinates of all 4 atoms:
Nd  0.2306  0.2306  0.2306
Nd  0.7694  0.7694  0.7694
Pu  0.0000  0.0000  0.0000
S  0.5000  0.5000  0.5000

## Properties
The calculation puts the total energy at -7.770 eV/atom. Its spin magnetization is 7.4 μB per cell. Its symmetry is R-3m. The value obtained for the formation energy without anion corrections is -0.77 eV/atom.